Entry 1:
This record from the Alexandria database describes RbTmFeF6 after structural relaxation. The functional is GGA+U.

Cell lengths 5.753, 5.801, 5.959 Å; angles 90.21, 90.32, 60.10 degrees
Element x y z (fractional)
Rb: 0.001 0.998 0.000
Tm: 0.336 0.328 0.500
Fe: 0.665 0.668 0.500
F: 0.999 0.381 0.304
F: 0.385 0.999 0.697
F: 0.618 0.383 0.696
F: 0.989 0.624 0.685
F: 0.388 0.622 0.314
F: 0.619 0.997 0.304

Computed properties:
electronic total energy	-52.0	eV/cell

---

Entry 2:
This record from the Alexandria database describes RbVFe2F8 after structural relaxation. The functional is GGA+U.

Cell lengths 5.117, 5.301, 7.502 Å; angles 78.52, 80.53, 77.68 degrees
Element x y z (fractional)
Rb: 0.000 0.000 0.500
V: 0.000 0.000 0.000
Fe: 0.443 0.457 0.729
Fe: 0.557 0.543 0.271
F: 0.198 0.768 0.198
F: 0.743 0.766 0.049
F: 0.772 0.220 0.183
F: 0.802 0.232 0.802
F: 0.257 0.234 0.951
F: 0.228 0.780 0.817
F: 0.622 0.685 0.491
F: 0.378 0.315 0.509

Computed properties:
electronic total energy	-66.0	eV/cell